The following is a DFT calculation (PBE-GGA) of CsNdHgBr6 after structural relaxation.

Cell: 7.5316 7.5316 8.0403 Å, 90.00 90.00 120.00°
Space group P312 (No. 149)
Symmetry-distinct sites (fractional):
Cs1 0.0000 0.0000 0.0000 [1 per cell]
Nd1 0.6667 0.3333 0.5000 [1 per cell]
Hg1 0.3333 0.6667 0.5000 [1 per cell]
Br1 0.0042 0.3854 0.2886 [6 per cell]

Results
energy	-3.157	eV/atom
M_tot	0.0	μB/f.u.
N(E_F)	0.00	states/eV/f.u.

=====

The following is a DFT calculation (PBE-GGA) of CaAgP after structural relaxation.

Cell: 4.4644 4.4663 7.2109 Å, 99.31 99.43 90.01°
Space group P1 (No. 1)
Symmetry-distinct sites (fractional):
Ca1 0.0000 0.0000 0.0000 [1 per cell]
Ca2 0.1373 0.8660 0.5008 [1 per cell]
Ag1 0.5004 0.5246 0.1403 [1 per cell]
Ag2 0.6615 0.3659 0.6393 [1 per cell]
P1 0.2028 0.4512 0.7908 [1 per cell]
P2 0.5872 0.0652 0.2908 [1 per cell]

Results
energy	-4.061	eV/atom
M_tot	0.0	μB/f.u.
N(E_F)	0.03	states/eV/f.u.

=====

| no. | calculated density (g cm⁻³) |
| --- | --- |
| 1 | 4.02 |
| 2 | 4.25 |